# CrTcSb GGA-PBE optimized geometry
# Total magnetic moment, μB/atom: 0.00
# Theoretical density, g cm⁻³: 8.970
# Energy relative to the elements, uncorrected, eV/atom: 0.39
# Relative energy among the computed polymorphs, eV/atom: 0.191
data_CrTcSb
_chemical_formula_sum 'Cr1 Tc1 Sb1'
_cell_length_a 3.048
_cell_length_b 3.048
_cell_length_c 6.252
_cell_angle_alpha 90.00
_cell_angle_beta 90.00
_cell_angle_gamma 120.00
_symmetry_space_group_name_H-M 'P 1'
_symmetry_Int_Tables_number 1
_symmetry_space_group_name_Hall 'P 1'
loop_
_atom_site_label
_atom_site_fract_x
_atom_site_fract_y
_atom_site_fract_z
Cr1 0.000 0.000 0.000
Tc1 0.333 0.667 0.736
Sb1 0.667 0.333 0.356



# CrTcSb GGA-PBE optimized geometry
# Total magnetic moment, μB/atom: 0.12
# Theoretical density, g cm⁻³: 8.583
# Energy relative to the elements, uncorrected, eV/atom: 0.20
# Relative energy among the computed polymorphs, eV/atom: 0.000
data_CrTcSb
_chemical_formula_sum 'Cr1 Tc1 Sb1'
_cell_length_a 4.205
_cell_length_b 4.205
_cell_length_c 4.205
_cell_angle_alpha 60.00
_cell_angle_beta 60.00
_cell_angle_gamma 60.00
_symmetry_space_group_name_H-M 'P 1'
_symmetry_Int_Tables_number 1
_symmetry_space_group_name_Hall 'P 1'
loop_
_atom_site_label
_atom_site_fract_x
_atom_site_fract_y
_atom_site_fract_z
Cr1 0.000 0.000 0.000
Tc1 0.750 0.750 0.750
Sb1 0.250 0.250 0.250



# CrTc2Sb GGA-PBE optimized geometry
# Total magnetic moment, μB/atom: 0.32
# Theoretical density, g cm⁻³: 9.797
# Energy relative to the elements, uncorrected, eV/atom: 0.24
data_CrTc2Sb
_chemical_formula_sum 'Cr1 Tc2 Sb1'
_cell_length_a 4.728
_cell_length_b 4.728
_cell_length_c 4.823
_cell_angle_alpha 102.25
_cell_angle_beta 102.25
_cell_angle_gamma 36.61
_symmetry_space_group_name_H-M 'P 1'
_symmetry_Int_Tables_number 1
_symmetry_space_group_name_Hall 'P 1'
loop_
_atom_site_label
_atom_site_fract_x
_atom_site_fract_y
_atom_site_fract_z
Cr1 0.000 0.000 0.000
Tc1 0.265 0.265 0.781
Tc2 0.735 0.735 0.219
Sb1 0.500 0.500 0.500



# CrTc2Sb GGA-PBE optimized geometry
# Total magnetic moment, μB/atom: 0.36
# Theoretical density, g cm⁻³: 9.979
# Energy relative to the elements, uncorrected, eV/atom: 0.23
data_CrTc2Sb
_chemical_formula_sum 'Cr1 Tc2 Sb1'
_cell_length_a 5.158
_cell_length_b 5.158
_cell_length_c 5.158
_cell_angle_alpha 143.29
_cell_angle_beta 130.61
_cell_angle_gamma 63.09
_symmetry_space_group_name_H-M 'P 1'
_symmetry_Int_Tables_number 1
_symmetry_space_group_name_Hall 'P 1'
loop_
_atom_site_label
_atom_site_fract_x
_atom_site_fract_y
_atom_site_fract_z
Cr1 0.000 0.000 0.000
Tc1 0.498 0.498 0.000
Tc2 0.758 0.258 0.500
Sb1 0.246 0.746 0.500